(1)
First-principles (PBE-GGA) data for a relaxed CoOsPt2 crystal, as listed in Alexandria.

Structure (CIF):
```
data_CoOsPt2
_chemical_formula_sum 'Co4 Os4 Pt8'
_cell_length_a 6.136
_cell_length_b 6.136
_cell_length_c 6.136
_cell_angle_alpha 90.00
_cell_angle_beta 90.00
_cell_angle_gamma 90.00
_space_group_name_H-M_alt 'F m -3 m'
_space_group_IT_number 225
_space_group_name_Hall '-F 4 2 3'
loop_
_atom_site_label
_atom_site_fract_x
_atom_site_fract_y
_atom_site_fract_z
Co1 0.000 0.000 0.000
Os1 0.000 0.000 0.500
Pt1 0.250 0.250 0.250
```

Total DFT energy (no corrections) = -0.263 hartree per atom
ΔH_f (0 K) = 0.4469 eV/atom
M_tot = 0.000 μB/atom
Crystal system = cubic

***

(2)
First-principles (PBE-GGA) data for a relaxed CoOsPt crystal, as listed in Alexandria.

Structure (CIF):
```
data_CoOsPt
_chemical_formula_sum 'Co1 Os1 Pt1'
_cell_length_a 4.2409
_cell_length_b 4.2409
_cell_length_c 2.6273
_cell_angle_alpha 90.00
_cell_angle_beta 90.00
_cell_angle_gamma 120.00
_space_group_name_H-M_alt 'P -6 m 2'
_space_group_IT_number 187
_space_group_name_Hall 'P -6 2'
loop_
_atom_site_label
_atom_site_fract_x
_atom_site_fract_y
_atom_site_fract_z
Co1 0.0000 0.0000 0.0000
Os1 0.6667 0.3333 0.5000
Pt1 0.3333 0.6667 0.0000
```

Total DFT energy (no corrections) = -0.288 hartree per atom
ΔH_f (0 K) = 0.2789 eV/atom
M_tot = 0.132 μB/atom
Crystal system = hexagonal

***

(3)
First-principles (PBE-GGA) data for a relaxed CoOs2Pt crystal, as listed in Alexandria.

Structure (CIF):
```
data_CoOs2Pt
_chemical_formula_sum 'Co2 Os4 Pt2'
_cell_length_a 2.704
_cell_length_b 4.351
_cell_length_c 9.590
_cell_angle_alpha 90.00
_cell_angle_beta 90.00
_cell_angle_gamma 90.00
_space_group_name_H-M_alt 'I m m m'
_space_group_IT_number 71
_space_group_name_Hall '-I 2 2'
loop_
_atom_site_label
_atom_site_fract_x
_atom_site_fract_y
_atom_site_fract_z
Co1 0.000 0.000 0.000
Os1 0.000 0.500 0.285
Pt1 0.000 0.000 0.500
```

Total DFT energy (no corrections) = -0.316 hartree per atom
ΔH_f (0 K) = 0.3042 eV/atom
M_tot = 0.196 μB/atom
Crystal system = orthorhombic

***

(4)
First-principles (PBE-GGA) data for a relaxed CoOs2Pt crystal, as listed in Alexandria.

Structure (CIF):
```
data_CoOs2Pt
_chemical_formula_sum 'Co1 Os2 Pt1'
_cell_length_a 2.720
_cell_length_b 3.771
_cell_length_c 5.408
_cell_angle_alpha 90.00
_cell_angle_beta 90.00
_cell_angle_gamma 90.00
_space_group_name_H-M_alt 'P m m 2'
_space_group_IT_number 25
loop_
_space_group_symop_operation_xyz
'x,y,z'
'-x,-y,z'
'-x,y,z'
'x,-y,z'
loop_
_atom_site_label
_atom_site_fract_x
_atom_site_fract_y
_atom_site_fract_z
Co1 0.000 0.000 0.000
Os1 0.000 0.000 0.476
Os2 0.500 0.500 0.244
Pt1 0.500 0.500 0.756
```

Total DFT energy (no corrections) = -0.324 hartree per atom
ΔH_f (0 K) = 0.0888 eV/atom
M_tot = 0.318 μB/atom
Crystal system = orthorhombic

***

Question: What is the ΔH_f (0 K) in the third record?
Answer: 0.3042 eV/atom

***

Question: Number 1 is which compound?
Answer: CoOsPt2